A relaxed ScCr2AgH4O10 crystal, computed with GGA+U.

Summary:
E = -108.5 eV per cell
SG = P-1 (2)

a b c (Å): 5.2686 6.2952 6.7131
angles (deg): 94.73 96.92 103.13
Closest atoms and distances in Å follow each position.
Fractional coordinates of all 18 atoms:
Sc: 0.0000 0.0000 0.0000  6 O 2.09-2.25
Cr: 0.0774 0.3880 0.8131  6 O 1.96-2.08
Cr: 0.9226 0.6120 0.1869  6 O 1.96-2.08
Ag: 0.0000 0.0000 0.5000  2 O 2.17
H: 0.2853 0.3939 0.1934  1 O 1.00
H: 0.4368 0.8510 0.2052  1 O 1.01
H: 0.5632 0.1490 0.7948  1 O 1.01
H: 0.7147 0.6061 0.8066  1 O 1.00
O: 0.1026 0.3588 0.1198  1 H 1.00
O: 0.2338 0.1350 0.7896  1 H 1.71
O: 0.2353 0.5027 0.5703  1 O 1.35
O: 0.2467 0.8590 0.1946  1 H 1.01
O: 0.3896 0.5990 0.7452  1 O 1.35
O: 0.6104 0.4010 0.2548  1 O 1.35
O: 0.7533 0.1410 0.8054  1 H 1.01
O: 0.7647 0.4973 0.4297  1 O 1.35
O: 0.7662 0.8650 0.2104  1 H 1.71
O: 0.8974 0.6412 0.8802  1 H 1.00